Material: TaGeSb
Method: DFT, GGA-PBE
State: optimized geometry

## Properties
Electronic total energy (eV per atom): -6.383
Size of the total moment (μB per atom): 0.001

Cell lengths 6.5599, 6.5599, 6.5599 Å; angles 90.00, 90.00, 90.00 degrees
Closest atoms and distances in Å follow each position.
Space group F-43m (No. 216)
One atom of each set of equivalent atoms:
Ta 0.0000 0.0000 0.0000 x4  4 Ge 2.84, 4 Sb 2.84
Ge 0.2500 0.2500 0.7500 x4  4 Ta 2.84
Sb 0.2500 0.2500 0.2500 x4  4 Ta 2.84

---

Material: TcGeSb
Method: DFT, GGA-PBE
State: optimized geometry

## Properties
Electronic total energy (eV per atom): -6.139
Size of the total moment (μB per atom): 0.002

Cell lengths 6.2506, 6.2506, 6.2506 Å; angles 90.00, 90.00, 90.00 degrees
Closest atoms and distances in Å follow each position.
Space group F-43m (No. 216)
One atom of each set of equivalent atoms:
Tc 0.0000 0.0000 0.0000 x4  4 Ge 2.71, 4 Sb 2.71
Ge 0.2500 0.2500 0.2500 x4  4 Tc 2.71
Sb 0.2500 0.2500 0.7500 x4  4 Tc 2.71

---

Material: TcGeSb
Method: DFT, GGA-PBE
State: optimized geometry

## Properties
Electronic total energy (eV per atom): -6.472
Size of the total moment (μB per atom): 0.001

Cell lengths 9.5538, 3.3301, 8.0397 Å; angles 90.00, 119.68, 90.00 degrees
Closest atoms and distances in Å follow each position.
Space group Cm (No. 8)
One atom of each set of equivalent atoms:
Tc 0.0000 0.0000 0.0000 x2  5 Ge 2.56-2.84, 3 Sb 2.72-2.80
Tc 0.1937 0.5000 0.6020 x2  5 Sb 2.67-2.78, 3 Ge 2.78-2.82
Ge 0.1897 0.5000 0.2538 x2  3 Tc 2.56-2.78, 3 Sb 2.60-2.84
Ge 0.2542 0.0000 0.9138 x2  5 Tc 2.67-2.84
Sb 0.4495 0.0000 0.6949 x2  5 Tc 2.74-2.80, 2 Ge 3.04
Sb 0.4885 0.5000 0.3313 x2  3 Ge 2.60-2.84, 3 Tc 2.67-2.72

---

Material: TcGe2Sb
Method: DFT, GGA-PBE
State: optimized geometry

## Properties
Electronic total energy (eV per atom): -5.504
Size of the total moment (μB per atom): 0.001

Cell lengths 6.6284, 6.6284, 6.6284 Å; angles 90.00, 90.00, 90.00 degrees
Closest atoms and distances in Å follow each position.
Space group F-43m (No. 216)
One atom of each set of equivalent atoms:
Tc 0.0000 0.0000 0.0000 x4  4 Sb 2.87, 4 Ge 2.87
Ge 0.0000 0.0000 0.5000 x4  4 Ge 2.87, 4 Sb 2.87
Ge 0.2500 0.2500 0.7500 x4  4 Ge 2.87, 4 Tc 2.87
Sb 0.2500 0.2500 0.2500 x4  4 Ge 2.87, 4 Tc 2.87

---

Material: Zr2Ge2SbTe
Method: DFT, GGA-PBE
State: optimized geometry

## Properties
Electronic total energy (eV per atom): -5.759
Size of the total moment (μB per atom): 0.001

Cell lengths 4.1776, 4.1776, 7.8088 Å; angles 90.00, 90.00, 90.00 degrees
Closest atoms and distances in Å follow each position.
Space group P-4m2 (No. 115)
One atom of each set of equivalent atoms:
Zr 0.0000 0.5000 0.1989 x2  5 Ge 2.75-2.98
Ge 0.0000 0.5000 0.8471 x2  5 Zr 2.75-2.98
Sb 0.5000 0.5000 0.5000 x1  4 Te 2.95, 4 Zr 3.15
Te 0.0000 0.0000 0.5000 x1  4 Sb 2.95, 4 Zr 3.15

---

Material: Th2GeSb
Method: DFT, GGA-PBE
State: optimized geometry

## Properties
Electronic total energy (eV per atom): -6.775
Size of the total moment (μB per atom): 0.002

Cell lengths 7.5783, 4.3792, 7.7142 Å; angles 90.00, 109.16, 90.00 degrees
Closest atoms and distances in Å follow each position.
Space group C2/m (No. 12)
One atom of each set of equivalent atoms:
Th 0.2429 0.0000 0.2284 x4  3 Ge 3.03, 3 Sb 3.21
Ge 0.0000 0.5000 0.0000 x2  6 Th 3.03
Sb 0.0000 0.0000 0.5000 x2  6 Th 3.21

---

Material: TmGeSb
Method: DFT, GGA-PBE
State: optimized geometry

## Properties
Electronic total energy (eV per atom): -4.491
Size of the total moment (μB per atom): 0.000

Cell lengths 7.0358, 7.0358, 7.0358 Å; angles 90.00, 90.00, 90.00 degrees
Closest atoms and distances in Å follow each position.
Space group F-43m (No. 216)
One atom of each set of equivalent atoms:
Tm 0.0000 0.0000 0.0000 x4  4 Sb 3.05
Ge 0.0000 0.0000 0.5000 x4  4 Sb 3.05
Sb 0.2500 0.2500 0.7500 x4  4 Ge 3.05, 4 Tm 3.05

---

Material: TmGeSb
Method: DFT, GGA-PBE
State: optimized geometry

## Properties
Electronic total energy (eV per atom): -4.599
Size of the total moment (μB per atom): 0.000

Cell lengths 6.9852, 6.9852, 6.9852 Å; angles 90.00, 90.00, 90.00 degrees
Closest atoms and distances in Å follow each position.
Space group F-43m (No. 216)
One atom of each set of equivalent atoms:
Tm 0.0000 0.0000 0.0000 x4  4 Ge 3.02, 4 Sb 3.02
Ge 0.2500 0.2500 0.7500 x4  4 Tm 3.02
Sb 0.2500 0.2500 0.2500 x4  4 Tm 3.02

---

What is the size of the total moment in the fifth record?
0.001 μB per atom

---

Repeat the eighth record exactly.
Material: TmGeSb
Method: DFT, GGA-PBE
State: optimized geometry

## Properties
Electronic total energy (eV per atom): -4.599
Size of the total moment (μB per atom): 0.000

Cell lengths 6.9852, 6.9852, 6.9852 Å; angles 90.00, 90.00, 90.00 degrees
Closest atoms and distances in Å follow each position.
Space group F-43m (No. 216)
One atom of each set of equivalent atoms:
Tm 0.0000 0.0000 0.0000 x4  4 Ge 3.02, 4 Sb 3.02
Ge 0.2500 0.2500 0.7500 x4  4 Tm 3.02
Sb 0.2500 0.2500 0.2500 x4  4 Tm 3.02